# MgB4Ru

Crystalline MgB4Ru at its relaxed geometry (PBE-GGA, Alexandria via LeMat-Bulk).

abc: 5.868 11.243 3.446
angles: 90.00 90.00 90.00
Space group Pbam (No. 55)
Inequivalent atoms, fractional coordinates:
Mg1 0.129 0.150 0.000 [4 per cell]
B1 0.018 0.696 0.500 [4 per cell]
B2 0.115 0.550 0.500 [4 per cell]
B3 0.132 0.971 0.500 [4 per cell]
B4 0.205 0.814 0.500 [4 per cell]
Ru1 0.142 0.410 0.000 [4 per cell]

Computed properties:
The magnetic moment is 0.00 μB per cell. The formation energy is -0.203 eV/atom. As for the total energy: -6.466 eV per atom. Its density of states at the Fermi level is 7.15 states/eV per cell. The crystal system is orthorhombic.

---

# LaHfAl2

Crystalline LaHfAl2 at its relaxed geometry (PBE-GGA, Alexandria via LeMat-Bulk).

abc: 7.138 7.138 7.138
angles: 90.00 90.00 90.00
Space group Fm-3m (No. 225)
Inequivalent atoms, fractional coordinates:
La1 0.000 0.000 0.000 [4 per cell]
Hf1 0.000 0.000 0.500 [4 per cell]
Al1 0.250 0.250 0.250 [8 per cell]

Computed properties:
The magnetic moment is 0.00 μB per cell. The formation energy is -0.172 eV/atom. As for the total energy: -5.763 eV per atom. Its density of states at the Fermi level is 16.71 states/eV per cell. The polymorph energy (0 for the lowest one) comes out at 98 meV/atom. The crystal system is cubic.

---

# NaAsRhSe2

Crystalline NaAsRhSe2 at its relaxed geometry (PBE-GGA, Alexandria via LeMat-Bulk).

abc: 5.192 5.192 4.573
angles: 90.00 90.00 90.00
Space group P4/mmm (No. 123)
Inequivalent atoms, fractional coordinates:
Na1 0.000 0.000 0.000 [1 per cell]
As1 0.500 0.500 0.000 [1 per cell]
Rh1 0.500 0.500 0.500 [1 per cell]
Se1 0.000 0.500 0.500 [2 per cell]

Computed properties:
The magnetic moment is 0.00 μB per cell. As for the total energy: -4.101 eV per atom. Its density of states at the Fermi level is 5.50 states/eV per cell. The polymorph energy (0 for the lowest one) comes out at 0 meV/atom. The crystal system is tetragonal. The uncorrected formation energy comes out at -4.2 kJ per mole of atoms.

---

# Ca2MgZr

Crystalline Ca2MgZr at its relaxed geometry (PBE-GGA, Alexandria via LeMat-Bulk).

abc: 4.931 4.931 9.922
angles: 90.00 90.00 90.00
Space group I-4m2 (No. 119)
Inequivalent atoms, fractional coordinates:
Ca1 0.000 0.000 0.000 [2 per cell]
Ca2 0.000 0.500 0.250 [2 per cell]
Mg1 0.000 0.500 0.750 [2 per cell]
Zr1 0.000 0.000 0.500 [2 per cell]

Computed properties:
The magnetic moment is 5.48 μB per cell. The formation energy is 0.337 eV/atom. As for the total energy: -3.200 eV per atom. Its density of states at the Fermi level is 12.99 states/eV per cell. The crystal system is tetragonal.

---

# LaBe2Mo

Crystalline LaBe2Mo at its relaxed geometry (PBE-GGA, Alexandria via LeMat-Bulk).

abc: 3.249 3.307 6.081
angles: 90.00 90.00 90.00
Space group Pmmm (No. 47)
Inequivalent atoms, fractional coordinates:
La1 0.000 0.000 0.000 [1 per cell]
Be1 0.500 0.500 0.335 [2 per cell]
Mo1 0.000 0.000 0.500 [1 per cell]

Computed properties:
The magnetic moment is 0.00 μB per cell. The formation energy is 0.173 eV/atom. As for the total energy: -5.630 eV per atom. Its density of states at the Fermi level is 3.12 states/eV per cell. The polymorph energy (0 for the lowest one) comes out at 0 meV/atom. The crystal system is orthorhombic.

---

# NbGa3Cl

Crystalline NbGa3Cl at its relaxed geometry (PBE-GGA, Alexandria via LeMat-Bulk).

abc: 4.761 4.761 4.761
angles: 90.00 90.00 90.00
Space group Pm-3m (No. 221)
Inequivalent atoms, fractional coordinates:
Nb1 0.000 0.000 0.000 [1 per cell]
Ga1 0.000 0.500 0.500 [3 per cell]
Cl1 0.500 0.500 0.500 [1 per cell]

Computed properties:
The magnetic moment is 0.00 μB per cell. As for the total energy: -3.364 eV per atom. Its density of states at the Fermi level is 3.15 states/eV per cell. The polymorph energy (0 for the lowest one) comes out at 388 meV/atom. The crystal system is cubic. The uncorrected formation energy comes out at 80.6 kJ per mole of atoms.

---

# CsTlCuBr6

Crystalline CsTlCuBr6 at its relaxed geometry (PBE-GGA, Alexandria via LeMat-Bulk).

abc: 6.877 7.060 7.959
angles: 92.46 97.54 111.71
Space group P1 (No. 1)
Inequivalent atoms, fractional coordinates:
Cs1 0.000 0.000 0.000 [1 per cell]
Tl1 0.604 0.347 0.491 [1 per cell]
Cu1 0.236 0.667 0.544 [1 per cell]
Br1 0.289 0.458 0.309 [1 per cell]
Br2 0.353 0.023 0.678 [1 per cell]
Br3 0.523 0.615 0.732 [1 per cell]
Br4 0.569 0.079 0.231 [1 per cell]
Br5 0.927 0.693 0.368 [1 per cell]
Br6 0.958 0.401 0.721 [1 per cell]

Computed properties:
The magnetic moment is 1.04 μB per cell. As for the total energy: -2.630 eV per atom. Its density of states at the Fermi level is 0.66 states/eV per cell. The crystal system is triclinic. The uncorrected formation energy comes out at -67.7 kJ per mole of atoms.

---

# Tb2RhCl2

Crystalline Tb2RhCl2 at its relaxed geometry (PBE-GGA, Alexandria via LeMat-Bulk).

abc: 6.747 3.897 11.102
angles: 90.00 102.85 90.00
Space group C2/m (No. 12)
Inequivalent atoms, fractional coordinates:
Tb1 0.223 0.000 0.154 [4 per cell]
Rh1 0.000 0.500 0.000 [2 per cell]
Cl1 0.052 0.000 0.685 [4 per cell]

Computed properties:
The magnetic moment is 0.00 μB per cell. As for the total energy: -5.567 eV per atom. Its density of states at the Fermi level is 5.88 states/eV per cell. The crystal system is monoclinic. The uncorrected formation energy comes out at -145.3 kJ per mole of atoms.